# Ho3PtRh2 | the Alexandria database | PBE | relaxed
# * DFT formation energy: -1.02 eV per atom
data_Ho3PtRh2
_space_group_name_H-M_alt 'P -3 m 1'
_space_group_IT_number 164
_space_group_name_Hall '-P 3 2"'
_cell_length_a 4.8513
_cell_length_b 4.8513
_cell_length_c 11.8928
_cell_angle_alpha 90.00
_cell_angle_beta 90.00
_cell_angle_gamma 120.00
loop_
_atom_site_label
_atom_site_type_symbol
_atom_site_fract_x
_atom_site_fract_y
_atom_site_fract_z
_atom_site_occupancy
Ho1 Ho 0.0000 0.0000 0.2478 1
Ho2 Ho 0.3333 0.6667 0.4162 1
Ho3 Ho 0.3333 0.6667 0.9182 1
Pt1 Pt 0.3333 0.6667 0.6666 1
Rh1 Rh 0.0000 0.0000 0.0000 1
Rh2 Rh 0.0000 0.0000 0.5000 1
Rh3 Rh 0.3333 0.6667 0.1642 1



# Ho2Pt3Rh3 | the Alexandria database | PBE | relaxed
# * DFT formation energy: -0.80 eV per atom
data_Ho2Pt3Rh3
_space_group_name_H-M_alt 'P m m m'
_space_group_IT_number 47
_cell_length_a 4.0749
_cell_length_b 4.1024
_cell_length_c 8.0707
_cell_angle_alpha 90.00
_cell_angle_beta 90.00
_cell_angle_gamma 90.00
loop_
_space_group_symop_operation_xyz
'x,y,z'
'-x,-y,-z'
'-x,-y,z'
'x,y,-z'
'x,-y,-z'
'-x,y,z'
'-x,y,-z'
'x,-y,z'
loop_
_atom_site_label
_atom_site_type_symbol
_atom_site_fract_x
_atom_site_fract_y
_atom_site_fract_z
_atom_site_occupancy
Ho1 Ho 0.0000 0.0000 0.2475 1
Pt1 Pt 0.0000 0.5000 0.5000 1
Pt2 Pt 0.5000 0.5000 0.2487 1
Rh1 Rh 0.0000 0.5000 0.0000 1
Rh2 Rh 0.5000 0.0000 0.0000 1
Rh3 Rh 0.5000 0.0000 0.5000 1